Te2IrW: optimized geometry, PBE.

Lattice parameters (Å, degrees): 3.6291 3.7421 14.9876 90.00 90.00 90.00
Fractional positions:
Te  0.0000  0.0000  0.0000
Te  0.0000  0.5000  0.2574
Te  0.5000  0.0000  0.7574
Te  0.5000  0.5000  0.5000
Ir  0.0000  0.0000  0.5511
Ir  0.5000  0.5000  0.0511
W  0.0000  0.5000  0.6617
W  0.5000  0.0000  0.1617

Summary:
Relative energy among the computed polymorphs ... 7.15 kcal/mol of atoms

***

TlSi2IrPt: optimized geometry, PBE.

Lattice parameters (Å, degrees): 4.9076 4.9076 5.0051 90.00 90.00 90.00
Fractional positions:
Tl  0.0000  0.0000  0.0000
Si  0.0000  0.5000  0.0000
Si  0.5000  0.0000  0.0000
Ir  0.0000  0.0000  0.5000
Pt  0.5000  0.5000  0.5000

Summary:
Total DFT energy (no corrections) ... -3.5997 eV/atom

***

ScZnGaNi: optimized geometry, PBE.

Lattice parameters (Å, degrees): 6.2111 6.2111 6.2111 90.00 90.00 90.00
Fractional positions:
Sc  0.0000  0.0000  0.0000
Sc  0.0000  0.5000  0.5000
Sc  0.5000  0.0000  0.5000
Sc  0.5000  0.5000  0.0000
Zn  0.2500  0.2500  0.2500
Zn  0.2500  0.7500  0.7500
Zn  0.7500  0.2500  0.7500
Zn  0.7500  0.7500  0.2500
Ga  0.0000  0.0000  0.5000
Ga  0.0000  0.5000  0.0000
Ga  0.5000  0.0000  0.0000
Ga  0.5000  0.5000  0.5000
Ni  0.2500  0.2500  0.7500
Ni  0.2500  0.7500  0.2500
Ni  0.7500  0.2500  0.2500
Ni  0.7500  0.7500  0.7500

Summary:
Energy of formation ... -0.43 eV per atom

***

Ga4Ru3Pt: optimized geometry, PBE.

Lattice parameters (Å, degrees): 3.1128 4.2485 8.5684 90.00 90.00 90.00
Fractional positions:
Ga  0.0000  0.0000  0.0000
Ga  0.0000  0.0000  0.5000
Ga  0.0000  0.5000  0.2410
Ga  0.0000  0.5000  0.7590
Ru  0.5000  0.0000  0.2574
Ru  0.5000  0.0000  0.7426
Ru  0.5000  0.5000  0.0000
Pt  0.5000  0.5000  0.5000

Summary:
Energy of formation ... -0.42 eV per atom

***

CsLaTiTl2: optimized geometry, PBE.

Lattice parameters (Å, degrees): 6.0435 6.0435 6.3439 90.00 90.00 90.00
Fractional positions:
Cs  0.0000  0.0000  0.0000
La  0.0000  0.0000  0.5000
Ti  0.5000  0.5000  0.0000
Tl  0.0000  0.5000  0.5000
Tl  0.5000  0.0000  0.5000

Summary:
Energy of formation ... 1.16 eV per atom

***

VZnFeCu: optimized geometry, PBE.

Lattice parameters (Å, degrees): 5.8705 5.8705 5.8705 90.00 90.00 90.00
Fractional positions:
V  0.0000  0.0000  0.0000
V  0.0000  0.5000  0.5000
V  0.5000  0.0000  0.5000
V  0.5000  0.5000  0.0000
Zn  0.0000  0.0000  0.5000
Zn  0.0000  0.5000  0.0000
Zn  0.5000  0.0000  0.0000
Zn  0.5000  0.5000  0.5000
Fe  0.2500  0.2500  0.7500
Fe  0.2500  0.7500  0.2500
Fe  0.7500  0.2500  0.2500
Fe  0.7500  0.7500  0.7500
Cu  0.2500  0.2500  0.2500
Cu  0.2500  0.7500  0.7500
Cu  0.7500  0.2500  0.7500
Cu  0.7500  0.7500  0.2500

Summary:
Energy of formation ... 0.07 eV per atom